No. 1
Mg2ScTc (PBEsol, relaxed); crystal system = tetragonal; space group = No. 119; total DFT energy (no corrections) = -5.173 eV per atom; E above lowest polymorph = 83.0 meV per atom; spin magnetization = 0.0 μB/f.u.; density = 4.4 Mg/m³; ΔH_f (0 K) = 14.8 kJ per mole of atoms
1.0
-1.809 0.747 4.241
-3.706 -2.613 -1.120
4.306 -1.750 -0.428
Mg Sc Tc
2 1 1
direct
0.000 0.000 0.000
0.750 0.250 0.500
0.500 0.500 0.000
0.250 0.750 0.500

No. 2
AgAsSe4 (PBEsol, relaxed); crystal system = cubic; space group = No. 216; total DFT energy (no corrections) = -3.295 eV per atom; spin magnetization = 0.0 μB/f.u.; formation energy (no corrections) = 65 kJ/mol of atoms; density = 6.7 Mg/m³
1.0
5.594 0.000 0.000
2.797 4.845 0.000
2.797 1.615 4.568
As Se Ag
1 4 1
direct
0.000 0.000 0.000
0.375 0.375 0.375
0.375 0.375 0.875
0.875 0.375 0.375
0.375 0.875 0.375
0.750 0.750 0.750